Material: LuTaPb
Method: DFT, PBE
State: relaxed

Cell: 6.9768 6.9768 6.9768 Å, 90.00 90.00 90.00°
Space group F-43m (No. 216)
Symmetry-distinct sites (fractional):
Lu (0.0000, 0.0000, 0.0000) x4
Ta (0.2500, 0.2500, 0.2500) x4
Pb (0.0000, 0.0000, 0.5000) x4

Uncorrected energy (eV per atom): -5.889